Computed, not measured: crystalline Ho2Ni15Pt2 at its relaxed geometry at the GGA-PBE level of DFT.

crystal system = trigonal
VASP energy = -112.7 eV for the cell shown

The structure in POSCAR format:
```
Ho2Ni15Pt2
1.0
4.1981 2.4238 4.0640
-4.1981 2.4238 4.0640
0.0000 -4.8475 4.0640
Ho Ni Pt
2 15 2
direct
0.1563 0.1563 0.1563
0.8437 0.8437 0.8437
0.0000 0.5000 0.5000
0.1509 0.1509 0.6598
0.1509 0.6598 0.1509
0.2026 0.5000 0.7974
0.2026 0.7974 0.5000
0.3402 0.8491 0.8491
0.5000 0.0000 0.5000
0.5000 0.2026 0.7974
0.5000 0.5000 0.0000
0.5000 0.7974 0.2026
0.6598 0.1509 0.1509
0.7974 0.2026 0.5000
0.7974 0.5000 0.2026
0.8491 0.3402 0.8491
0.8491 0.8491 0.3402
0.3910 0.3910 0.3910
0.6090 0.6090 0.6090
```